No. 1
A geometry-optimized CdHgPbAu2 structure, computed with PBEsol.

Cell: 5.2593 5.2593 5.6288 Å, 90.00 90.00 90.00°
With the nearest neighbours (Å) after each atom.
Positions (direct):
1 Pb 0.0000 0.0000 0.0000  4 Au 2.63, 2 Hg 2.81
2 Au 0.5000 0.0000 0.0000  2 Pb 2.63
3 Au 0.0000 0.5000 0.0000  2 Pb 2.63
4 Hg 0.0000 0.0000 0.5000  2 Pb 2.81
5 Cd 0.5000 0.5000 0.5000  4 Hg 3.72, 8 Au 3.85

Summary:
Density ... 9.7 g cm⁻³
Space group ... P4/mmm, No. 123
Fermi-level density of states ... 1.47 states/eV/f.u.
Energy relative to the elements ... 601 meV/atom


No. 2
A geometry-optimized HoCdAu structure, computed with PBEsol.

Cell: 3.8759 7.5978 7.5978 Å, 120.00 90.00 90.00°
With the nearest neighbours (Å) after each atom.
Positions (direct):
1 Ho 0.0000 0.5965 0.0000  5 Au 3.02-3.07, 6 Cd 3.20-3.32
2 Ho 0.0000 0.4035 0.4035  5 Au 3.02-3.07, 6 Cd 3.20-3.32
3 Ho 0.0000 0.0000 0.5965  5 Au 3.02-3.07, 6 Cd 3.20-3.32
4 Cd 0.5000 0.7386 0.7386  4 Au 2.77-2.85
5 Cd 0.5000 0.2614 0.0000  4 Au 2.77-2.85
6 Cd 0.5000 0.0000 0.2614  4 Au 2.77-2.85
7 Au 0.5000 0.3333 0.6667  3 Cd 2.85, 6 Ho 3.02
8 Au 0.5000 0.6667 0.3333  3 Cd 2.85, 6 Ho 3.02
9 Au 0.0000 0.0000 0.0000  6 Cd 2.77, 3 Ho 3.07

Summary:
Density ... 12.2 g cm⁻³
Space group ... P-62m, No. 189
Fermi-level density of states ... 1.98 states/eV/f.u.
Energy relative to the elements ... -684 meV/atom


No. 3
A geometry-optimized HoCdAu2 structure, computed with PBEsol.

Cell: 4.8188 4.8188 4.8188 Å, 60.00 60.00 60.00°
With the nearest neighbours (Å) after each atom.
Positions (direct):
1 Au 0.7500 0.7500 0.7500  4 Cd 2.95, 4 Ho 2.95
2 Au 0.2500 0.2500 0.2500  4 Cd 2.95, 4 Ho 2.95
3 Cd 0.0000 0.0000 0.0000  8 Au 2.95
4 Ho 0.5000 0.5000 0.5000  8 Au 2.95

Summary:
Density ... 14.1 g cm⁻³
Space group ... Fm-3m, No. 225
Fermi-level density of states ... 1.92 states/eV/f.u.
Energy relative to the elements ... -683 meV/atom


No. 4
A geometry-optimized RbCdAu2I structure, computed with PBEsol.

Cell: 5.4802 5.4802 6.5158 Å, 90.00 90.00 90.00°
With the nearest neighbours (Å) after each atom.
Positions (direct):
1 Rb 0.0000 0.0000 0.5000  2 I 3.26
2 Au 0.0000 0.5000 0.0000  2 I 2.74
3 Au 0.5000 0.0000 0.0000  2 I 2.74
4 Cd 0.5000 0.5000 0.5000  4 Rb 3.88, 8 Au 4.26
5 I 0.0000 0.0000 0.0000  4 Au 2.74

Summary:
Density ... 6.1 g cm⁻³
Space group ... P4/mmm, No. 123
Fermi-level density of states ... 1.63 states/eV/f.u.
Formation energy (no corrections) ... 367 meV/atom


No. 5
A geometry-optimized CdTeAuI2 structure, computed with PBEsol.

Cell: 5.4556 5.4556 5.5257 Å, 90.00 90.00 90.00°
With the nearest neighbours (Å) after each atom.
Positions (direct):
1 I 0.5000 0.0000 0.0000  2 Au 2.73
2 I 0.0000 0.5000 0.0000  2 Au 2.73
3 Au 0.0000 0.0000 0.0000  4 I 2.73, 2 Te 2.76
4 Te 0.0000 0.0000 0.5000  2 Au 2.76
5 Cd 0.5000 0.5000 0.5000  4 Te 3.86, 8 I 3.88

Summary:
Density ... 7.0 g cm⁻³
Space group ... P4/mmm, No. 123
Fermi-level density of states ... 3.65 states/eV/f.u.
Formation energy (no corrections) ... 284 meV/atom


No. 6
A geometry-optimized Cd2InAu structure, computed with PBEsol.

Cell: 3.7370 4.8273 4.8273 Å, 108.64 90.00 90.00°
With the nearest neighbours (Å) after each atom.
Positions (direct):
1 In 0.5000 0.0000 0.0000  2 Au 2.82, 8 Cd 3.05
2 Cd 0.0000 0.0000 0.5000  2 Cd 2.82, 4 Au 3.05, 4 In 3.05
3 Cd 0.0000 0.5000 0.0000  2 Cd 2.82, 4 In 3.05, 4 Au 3.05
4 Au 0.5000 0.5000 0.5000  2 In 2.82, 8 Cd 3.05

Summary:
Density ... 10.8 g cm⁻³
Space group ... Cmmm, No. 65
Fermi-level density of states ... 1.14 states/eV/f.u.
Energy relative to the elements ... -57 meV/atom


No. 7
A geometry-optimized CdInAu2 structure, computed with PBEsol.

Cell: 3.6741 4.5640 5.0913 Å, 105.54 111.15 90.00°
With the nearest neighbours (Å) after each atom.
Positions (direct):
1 In 0.7429 0.2153 0.4857  7 Au 2.81-2.95, 3 Cd 3.00-3.12
2 Au 0.9991 0.0241 0.9982  3 In 2.81-2.89, 4 Cd 2.90-2.96, 3 Au 2.99-3.07
3 Au 0.2506 0.7243 0.5012  3 Cd 2.81-2.88, 4 In 2.92-2.95, 3 Au 2.99-3.07
4 Cd 0.5074 0.5363 0.0149  7 Au 2.81-2.96, 3 In 3.00-3.12

Summary:
Density ... 13.5 g cm⁻³
Space group ... Cm, No. 8
Fermi-level density of states ... 1.07 states/eV/f.u.
Energy relative to the elements ... -146 meV/atom


No. 8
A geometry-optimized Cd2InAu structure, computed with PBEsol.

Cell: 3.7869 4.7630 5.0483 Å, 101.79 112.03 90.00°
With the nearest neighbours (Å) after each atom.
Positions (direct):
1 Cd 0.2564 0.2670 0.5128  3 In 2.84-3.10, 3 Au 2.86-2.98, 4 Cd 2.94-3.15
2 Cd 0.7436 0.7330 0.4872  3 In 2.84-3.10, 3 Au 2.86-2.98, 4 Cd 2.94-3.15
3 Au 0.0000 0.5000 0.0000  6 Cd 2.86-2.98, 4 In 3.04
4 In 0.5000 0.0000 0.0000  6 Cd 2.84-3.10, 4 Au 3.04

Summary:
Density ... 10.8 g cm⁻³
Space group ... C2/m, No. 12
Fermi-level density of states ... 1.13 states/eV/f.u.
Energy relative to the elements ... -74 meV/atom


No. 9
A geometry-optimized CdInAu2 structure, computed with PBEsol.

Cell: 3.5210 4.6207 4.6207 Å, 90.00 90.00 90.00°
With the nearest neighbours (Å) after each atom.
Positions (direct):
1 Au 0.0000 0.5000 0.0000  4 Cd 2.90, 4 In 2.90
2 Au 0.0000 0.0000 0.5000  4 In 2.90, 4 Cd 2.90
3 Cd 0.5000 0.5000 0.5000  8 Au 2.90
4 In 0.5000 0.0000 0.0000  8 Au 2.90

Summary:
Density ... 13.7 g cm⁻³
Space group ... P4/mmm, No. 123
Fermi-level density of states ... 1.28 states/eV/f.u.
Energy relative to the elements ... -138 meV/atom


No. 10
A geometry-optimized Cd2InAu structure, computed with PBEsol.

Cell: 3.5502 4.3287 5.7445 Å, 90.00 107.75 90.00°
With the nearest neighbours (Å) after each atom.
Positions (direct):
1 Cd 0.8336 0.0000 0.0359  2 Au 2.80, 2 In 2.88-3.13, 4 Cd 2.93
2 Cd 0.4104 0.5000 0.1925  2 Au 2.83-3.16, 4 Cd 2.93
3 In 0.0929 0.0000 0.5618  3 Cd 2.88-3.16, 4 Au 2.91-2.92
4 Au 0.6632 0.5000 0.7098  3 Cd 2.80-2.83, 4 In 2.91-2.92

Summary:
Density ... 10.6 g cm⁻³
Space group ... Pm, No. 6
Fermi-level density of states ... 1.37 states/eV/f.u.
Energy relative to the elements ... -75 meV/atom


No. 11
A geometry-optimized CdInAu2 structure, computed with PBEsol.

Cell: 3.5212 4.6685 4.6685 Å, 100.15 90.00 90.00°
With the nearest neighbours (Å) after each atom.
Positions (direct):
1 Au 0.0000 0.0000 0.5000  4 Cd 2.92, 4 In 2.92, 2 Au 3.00
2 Au 0.0000 0.5000 0.0000  4 In 2.92, 4 Cd 2.92, 2 Au 3.00
3 In 0.5000 0.0000 0.0000  8 Au 2.92, 2 Cd 3.00
4 Cd 0.5000 0.5000 0.5000  8 Au 2.92, 2 In 3.00

Summary:
Density ... 13.7 g cm⁻³
Space group ... Cmmm, No. 65
Fermi-level density of states ... 1.17 states/eV/f.u.
Energy relative to the elements ... -146 meV/atom


No. 12
A geometry-optimized Cd2InAu structure, computed with PBEsol.

Cell: 4.2837 4.2837 5.3215 Å, 113.73 113.73 90.00°
With the nearest neighbours (Å) after each atom.
Positions (direct):
1 Cd 0.7500 0.2500 0.5000  4 Cd 3.03, 4 In 3.06, 4 Au 3.06
2 Cd 0.2500 0.7500 0.5000  4 Cd 3.03, 4 In 3.06, 4 Au 3.06
3 Au 0.0000 0.0000 0.0000  4 In 3.03, 8 Cd 3.06
4 In 0.5000 0.5000 0.0000  4 Au 3.03, 8 Cd 3.06

Summary:
Density ... 11.1 g cm⁻³
Space group ... I4/mmm, No. 139
Fermi-level density of states ... 1.35 states/eV/f.u.
Energy relative to the elements ... -59 meV/atom